# 1
# LiHoInCu (PBE, relaxed)
data_LiHoInCu
_cell_length_a 6.615
_cell_length_b 6.615
_cell_length_c 6.615
_cell_angle_alpha 90.00
_cell_angle_beta 90.00
_cell_angle_gamma 90.00
_symmetry_space_group_name_H-M 'F -4 3 m'
_symmetry_Int_Tables_number 216
_symmetry_space_group_name_Hall 'F -4 2 3'
loop_
_atom_site_label
_atom_site_fract_x
_atom_site_fract_y
_atom_site_fract_z
_atom_site_occupancy
Li1 0.000 0.000 0.000 1
Ho1 0.250 0.250 0.750 1
In1 0.250 0.250 0.250 1
Cu1 0.000 0.000 0.500 1
# **Crystal system**: cubic

=====

# 2
# HoLu2In3CuNi2 (PBE, relaxed)
data_HoLu2In3CuNi2
_cell_length_a 3.797
_cell_length_b 12.811
_cell_length_c 7.397
_cell_angle_alpha 90.00
_cell_angle_beta 90.00
_cell_angle_gamma 90.00
_symmetry_space_group_name_H-M 'A m m 2'
_symmetry_Int_Tables_number 38
loop_
_symmetry_equiv_pos_as_xyz
'x,y,z'
'-x,-y,z'
'-x,y,z'
'x,-y,z'
'x,y+1/2,z+1/2'
'-x,-y+1/2,z+1/2'
'-x,y+1/2,z+1/2'
'x,-y+1/2,z+1/2'
loop_
_atom_site_label
_atom_site_fract_x
_atom_site_fract_y
_atom_site_fract_z
_atom_site_occupancy
Ho1 0.000 0.000 0.000 1
Lu1 0.000 0.206 0.619 1
In1 0.500 0.000 0.671 1
In2 0.500 0.130 0.284 1
Cu1 0.000 0.000 0.413 1
Ni1 0.500 0.167 0.913 1
# **Crystal system**: orthorhombic

=====

# 3
# Ho2InCuNi (PBE, relaxed)
data_Ho2InCuNi
_cell_length_a 3.646
_cell_length_b 3.991
_cell_length_c 14.249
_cell_angle_alpha 90.00
_cell_angle_beta 90.00
_cell_angle_gamma 90.00
_symmetry_space_group_name_H-M 'A m m 2'
_symmetry_Int_Tables_number 38
loop_
_symmetry_equiv_pos_as_xyz
'x,y,z'
'-x,-y,z'
'-x,y,z'
'x,-y,z'
'x,y+1/2,z+1/2'
'-x,-y+1/2,z+1/2'
'-x,y+1/2,z+1/2'
'x,-y+1/2,z+1/2'
loop_
_atom_site_label
_atom_site_fract_x
_atom_site_fract_y
_atom_site_fract_z
_atom_site_occupancy
Ho1 0.000 0.000 0.000 1
Ho2 0.000 0.000 0.275 1
In1 0.500 0.000 0.640 1
Cu1 0.500 0.000 0.437 1
Ni1 0.500 0.000 0.839 1
# **Crystal system**: orthorhombic

=====

# 4
# Ho3In3Cu2Ni (PBE, relaxed)
data_Ho3In3Cu2Ni
_cell_length_a 7.4557
_cell_length_b 7.4557
_cell_length_c 3.8635
_cell_angle_alpha 90.00
_cell_angle_beta 90.00
_cell_angle_gamma 120.00
_symmetry_space_group_name_H-M 'P -6 2 m'
_symmetry_Int_Tables_number 189
_symmetry_space_group_name_Hall 'P -6 -2'
loop_
_atom_site_label
_atom_site_fract_x
_atom_site_fract_y
_atom_site_fract_z
_atom_site_occupancy
Ho1 0.0000 0.5934 0.0000 1
In1 0.0000 0.2532 0.5000 1
Cu1 0.3333 0.6667 0.5000 1
Ni1 0.0000 0.0000 0.0000 1
# **Crystal system**: hexagonal

=====

# 5
# HoTm2In3CuNi2 (PBE, relaxed)
data_HoTm2In3CuNi2
_cell_length_a 3.803
_cell_length_b 12.818
_cell_length_c 7.401
_cell_angle_alpha 90.00
_cell_angle_beta 90.00
_cell_angle_gamma 90.00
_symmetry_space_group_name_H-M 'A m m 2'
_symmetry_Int_Tables_number 38
loop_
_symmetry_equiv_pos_as_xyz
'x,y,z'
'-x,-y,z'
'-x,y,z'
'x,-y,z'
'x,y+1/2,z+1/2'
'-x,-y+1/2,z+1/2'
'-x,y+1/2,z+1/2'
'x,-y+1/2,z+1/2'
loop_
_atom_site_label
_atom_site_fract_x
_atom_site_fract_y
_atom_site_fract_z
_atom_site_occupancy
Ho1 0.000 0.000 0.000 1
Tm1 0.000 0.206 0.619 1
In1 0.500 0.000 0.671 1
In2 0.500 0.129 0.283 1
Cu1 0.000 0.000 0.413 1
Ni1 0.500 0.167 0.913 1
# **Crystal system**: orthorhombic

=====

# 6
# Tb2HoIn3CuPd2 (PBE, relaxed)
data_Tb2HoIn3CuPd2
_cell_length_a 3.859
_cell_length_b 13.258
_cell_length_c 7.665
_cell_angle_alpha 90.00
_cell_angle_beta 90.00
_cell_angle_gamma 90.00
_symmetry_space_group_name_H-M 'A m m 2'
_symmetry_Int_Tables_number 38
loop_
_symmetry_equiv_pos_as_xyz
'x,y,z'
'-x,-y,z'
'-x,y,z'
'x,-y,z'
'x,y+1/2,z+1/2'
'-x,-y+1/2,z+1/2'
'-x,y+1/2,z+1/2'
'x,-y+1/2,z+1/2'
loop_
_atom_site_label
_atom_site_fract_x
_atom_site_fract_y
_atom_site_fract_z
_atom_site_occupancy
Tb1 0.000 0.205 0.000 1
Ho1 0.000 0.000 0.385 1
In1 0.500 0.000 0.047 1
In2 0.500 0.126 0.669 1
Cu1 0.000 0.000 0.795 1
Pd1 0.500 0.166 0.295 1
# **Crystal system**: orthorhombic

=====

| no. | electronic total energy (eV per formula unit) | spin magnetization (μB/f.u.) |
| --- | --- | --- |
| 1 | -14.37 | 0.00 |
| 2 | -40.96 | 0.00 |
| 3 | -23.53 | 0.00 |
| 4 | -38.97 | 0.00 |
| 5 | -40.91 | 0.00 |
| 6 | -42.44 | 0.01 |